Record 1
An optimized crystal structure of Ca2POs. Source: Alexandria, functional PBE-GGA.

a = 10.437 Å, b = 10.437 Å, c = 4.371 Å
α = 90.00°, β = 90.00°, γ = 90.00°
Fractional coordinates of all 16 atoms:
1 Ca 0.076 0.250 0.125
2 Ca 0.250 0.576 0.375
3 Ca 0.250 0.924 0.875
4 Ca 0.424 0.250 0.625
5 Ca 0.576 0.750 0.625
6 Ca 0.750 0.076 0.875
7 Ca 0.750 0.424 0.375
8 Ca 0.924 0.750 0.125
9 P 0.000 0.000 0.000
10 P 0.000 0.500 0.250
11 P 0.500 0.000 0.750
12 P 0.500 0.500 0.500
13 Os 0.000 0.000 0.500
14 Os 0.000 0.500 0.750
15 Os 0.500 0.000 0.250
16 Os 0.500 0.500 0.000

Results
Calculated density   4.2 g cm⁻³
DOS(E_F)   0.617 states/eV/atom
Formation energy   -0.133 eV/atom

=====

Record 2
An optimized crystal structure of PrLu2Cd. Source: Alexandria, functional PBE-GGA.

a = 4.845 Å, b = 4.845 Å, c = 4.867 Å
α = 90.00°, β = 90.00°, γ = 90.00°
Fractional coordinates of all 4 atoms:
1 Pr 0.000 0.000 0.000
2 Lu 0.000 0.500 0.500
3 Lu 0.500 0.000 0.500
4 Cd 0.500 0.500 0.000

Results
Calculated density   8.8 g cm⁻³
DOS(E_F)   1.414 states/eV/atom
E above lowest polymorph   63 meV per atom
Formation energy   -0.080 eV/atom

=====

Record 3
An optimized crystal structure of Ti5GaSb3. Source: Alexandria, functional PBE-GGA.

a = 8.239 Å, b = 8.239 Å, c = 5.529 Å
α = 90.00°, β = 90.00°, γ = 120.00°
Fractional coordinates of all 18 atoms:
1 Ti 0.000 0.270 0.250
2 Ti 0.000 0.730 0.750
3 Ti 0.270 0.000 0.250
4 Ti 0.270 0.270 0.750
5 Ti 0.333 0.667 0.000
6 Ti 0.333 0.667 0.500
7 Ti 0.667 0.333 0.000
8 Ti 0.667 0.333 0.500
9 Ti 0.730 0.000 0.750
10 Ti 0.730 0.730 0.250
11 Ga 0.000 0.000 0.000
12 Ga 0.000 0.000 0.500
13 Sb 0.000 0.388 0.750
14 Sb 0.000 0.612 0.250
15 Sb 0.388 0.000 0.750
16 Sb 0.388 0.388 0.250
17 Sb 0.612 0.000 0.250
18 Sb 0.612 0.612 0.750

Results
Calculated density   6.9 g cm⁻³
DOS(E_F)   0.590 states/eV/atom
Formation energy from raw total energies   -0.561 eV per atom

=====

Record 4
An optimized crystal structure of Ti8InH6. Source: Alexandria, functional PBE-GGA.

a = 8.221 Å, b = 8.221 Å, c = 2.931 Å
α = 90.00°, β = 90.00°, γ = 120.00°
Fractional coordinates of all 15 atoms:
1 Ti 0.005 0.337 0.300
2 Ti 0.332 0.995 0.300
3 Ti 0.333 0.667 0.976
4 Ti 0.337 0.332 0.700
5 Ti 0.663 0.668 0.300
6 Ti 0.667 0.333 0.024
7 Ti 0.668 0.005 0.700
8 Ti 0.995 0.663 0.700
9 In 0.000 0.000 0.000
10 H 0.100 0.601 0.219
11 H 0.399 0.498 0.219
12 H 0.498 0.100 0.781
13 H 0.502 0.900 0.219
14 H 0.601 0.502 0.781
15 H 0.900 0.399 0.781

Results
Calculated density   4.9 g cm⁻³
DOS(E_F)   1.049 states/eV/atom

=====

Record 5
An optimized crystal structure of PrPuNiS4. Source: Alexandria, functional PBE-GGA.

a = 6.568 Å, b = 5.676 Å, c = 7.925 Å
α = 90.00°, β = 107.00°, γ = 90.00°
Fractional coordinates of all 14 atoms:
1 Pr 0.232 0.250 0.432
2 Pr 0.768 0.750 0.568
3 Pu 0.248 0.250 0.940
4 Pu 0.752 0.750 0.060
5 Ni 0.262 0.750 0.182
6 Ni 0.738 0.250 0.818
7 S 0.072 0.750 0.377
8 S 0.077 0.750 0.903
9 S 0.485 0.511 0.753
10 S 0.485 0.989 0.753
11 S 0.515 0.011 0.247
12 S 0.515 0.489 0.247
13 S 0.923 0.250 0.097
14 S 0.928 0.250 0.623

Results
Calculated density   6.7 g cm⁻³
DOS(E_F)   1.146 states/eV/atom
Formation energy from raw total energies   -1.394 eV per atom

=====

Record 6
An optimized crystal structure of Ho6ZnSe5. Source: Alexandria, functional PBE-GGA.

a = 7.071 Å, b = 7.071 Å, c = 7.047 Å
α = 99.61°, β = 99.61°, γ = 119.94°
Fractional coordinates of all 12 atoms:
1 Ho 0.080 0.404 0.742
2 Ho 0.241 0.241 0.256
3 Ho 0.404 0.080 0.742
4 Ho 0.596 0.920 0.258
5 Ho 0.759 0.759 0.744
6 Ho 0.920 0.596 0.258
7 Zn 0.000 0.000 0.500
8 Se 0.172 0.828 0.000
9 Se 0.334 0.666 0.500
10 Se 0.500 0.500 0.000
11 Se 0.666 0.334 0.500
12 Se 0.828 0.172 0.000

Results
Calculated density   8.4 g cm⁻³
DOS(E_F)   0.310 states/eV/atom
Formation energy from raw total energies   -1.520 eV per atom

=====

Record 7
An optimized crystal structure of Ac6Co2PtCl3. Source: Alexandria, functional PBE-GGA.

a = 10.328 Å, b = 10.328 Å, c = 9.371 Å
α = 109.67°, β = 109.67°, γ = 23.86°
Fractional coordinates of all 12 atoms:
1 Ac 0.016 0.016 0.234
2 Ac 0.320 0.320 0.446
3 Ac 0.339 0.339 0.879
4 Ac 0.661 0.661 0.121
5 Ac 0.680 0.680 0.554
6 Ac 0.984 0.984 0.766
7 Co 0.167 0.167 0.335
8 Co 0.833 0.833 0.665
9 Pt 0.500 0.500 0.000
10 Cl 0.169 0.169 0.836
11 Cl 0.500 0.500 0.500
12 Cl 0.831 0.831 0.164

Results
Calculated density   7.8 g cm⁻³
DOS(E_F)   0.415 states/eV/atom
Formation energy from raw total energies   -1.051 eV per atom

=====

Record 8
An optimized crystal structure of Pu2MnSi. Source: Alexandria, functional PBE-GGA.

a = 5.987 Å, b = 5.997 Å, c = 4.179 Å
α = 90.00°, β = 90.00°, γ = 90.00°
Fractional coordinates of all 8 atoms:
1 Pu 0.250 0.250 0.000
2 Pu 0.250 0.750 0.000
3 Pu 0.750 0.250 0.000
4 Pu 0.750 0.750 0.000
5 Mn 0.000 0.000 0.500
6 Mn 0.500 0.500 0.500
7 Si 0.000 0.500 0.500
8 Si 0.500 0.000 0.500

Results
Calculated density   12.6 g cm⁻³
DOS(E_F)   1.686 states/eV/atom
Formation energy from raw total energies   -0.247 eV per atom

=====

Record 9
An optimized crystal structure of HIrO. Source: Alexandria, functional PBE-GGA.

a = 6.356 Å, b = 3.536 Å, c = 5.198 Å
α = 90.00°, β = 115.81°, γ = 90.00°
Fractional coordinates of all 12 atoms:
1 H 0.150 0.000 0.330
2 H 0.350 0.500 0.670
3 H 0.650 0.500 0.330
4 H 0.850 0.000 0.670
5 Ir 0.223 0.000 0.680
6 Ir 0.277 0.500 0.320
7 Ir 0.723 0.500 0.680
8 Ir 0.777 0.000 0.320
9 O 0.111 0.500 0.846
10 O 0.389 0.000 0.154
11 O 0.611 0.000 0.846
12 O 0.889 0.500 0.154

Results
Calculated density   13.2 g cm⁻³
DOS(E_F)   0.299 states/eV/atom

=====

Record 10
An optimized crystal structure of AlFeCu2. Source: Alexandria, functional PBE-GGA.

a = 3.596 Å, b = 3.596 Å, c = 3.774 Å
α = 90.00°, β = 90.00°, γ = 90.00°
Fractional coordinates of all 4 atoms:
1 Al 0.000 0.000 0.000
2 Fe 0.500 0.500 0.000
3 Cu 0.000 0.500 0.500
4 Cu 0.500 0.000 0.500

Results
Calculated density   7.1 g cm⁻³
DOS(E_F)   0.589 states/eV/atom
Formation energy   -0.118 eV/atom

=====

Record 11
An optimized crystal structure of Y4ErBi2. Source: Alexandria, functional PBE-GGA.

a = 5.332 Å, b = 5.332 Å, c = 16.760 Å
α = 90.00°, β = 90.00°, γ = 90.00°
Fractional coordinates of all 14 atoms:
1 Y 0.000 0.000 0.182
2 Y 0.000 0.000 0.818
3 Y 0.000 0.500 0.000
4 Y 0.000 0.500 0.500
5 Y 0.500 0.000 0.000
6 Y 0.500 0.000 0.500
7 Y 0.500 0.500 0.318
8 Y 0.500 0.500 0.682
9 Er 0.000 0.000 0.000
10 Er 0.500 0.500 0.500
11 Bi 0.000 0.000 0.366
12 Bi 0.000 0.000 0.634
13 Bi 0.500 0.500 0.134
14 Bi 0.500 0.500 0.866

Results
Calculated density   6.6 g cm⁻³
DOS(E_F)   0.920 states/eV/atom
Formation energy   0.268 eV/atom

=====

Record 12
An optimized crystal structure of La6Pd2Pb. Source: Alexandria, functional PBE-GGA.

a = 9.071 Å, b = 9.071 Å, c = 9.071 Å
α = 115.24°, β = 108.36°, γ = 104.99°
Fractional coordinates of all 18 atoms:
1 La 0.029 0.231 0.799
2 La 0.184 0.290 0.475
3 La 0.184 0.710 0.894
4 La 0.324 0.022 0.698
5 La 0.324 0.626 0.302
6 La 0.432 0.231 0.201
7 La 0.568 0.769 0.799
8 La 0.676 0.374 0.698
9 La 0.676 0.978 0.302
10 La 0.816 0.290 0.106
11 La 0.816 0.710 0.525
12 La 0.971 0.769 0.201
13 Pd 0.128 0.628 0.500
14 Pd 0.357 0.000 0.357
15 Pd 0.643 0.000 0.643
16 Pd 0.872 0.372 0.500
17 Pb 0.000 0.000 0.000
18 Pb 0.500 0.500 0.000

Results
Calculated density   7.3 g cm⁻³
DOS(E_F)   1.251 states/eV/atom
Formation energy   -0.495 eV/atom

=====

no.,raw total energy (eV per cell)
1,-84.70
2,-15.06
3,-119.83
4,-89.85
5,-102.32
6,-64.40
7,-63.05
8,-88.49
9,-67.98
10,-20.87
11,-72.61
12,-96.23